Density functional theory data (PBE) for a geometry-optimized KZnAgCl5 structure.

Cell lengths 7.5353, 7.5353, 9.4563 Å; angles 102.93, 102.93, 111.71 degrees
Element x y z (fractional)
1 K 0.1812 0.8188 0.7500
2 K 0.8188 0.1812 0.2500
3 Zn 0.1680 0.8320 0.2500
4 Zn 0.8320 0.1680 0.7500
5 Ag 0.5000 0.5000 0.0000
6 Ag 0.5000 0.5000 0.5000
7 Cl 0.1464 0.2293 0.9211
8 Cl 0.1636 0.6367 0.3978
9 Cl 0.2293 0.1464 0.4211
10 Cl 0.3633 0.8364 0.1022
11 Cl 0.4440 0.5560 0.7500
12 Cl 0.5560 0.4440 0.2500
13 Cl 0.6367 0.1636 0.8978
14 Cl 0.7707 0.8536 0.5789
15 Cl 0.8364 0.3633 0.6022
16 Cl 0.8536 0.7707 0.0789

The space group is No. 15. The value obtained for the mass density is 2.83 g/cm3. The formation energy without anion corrections comes out at -1.058 eV per atom. The total energy is -2.865 eV/atom.

Density functional theory data (PBE) for a geometry-optimized KZn2Ag2Cl7 structure.

Cell lengths 11.0956, 11.0956, 11.0956 Å; angles 36.89, 36.89, 36.89 degrees
Element x y z (fractional)
1 K 0.0000 0.0000 0.0000
2 Zn 0.4254 0.4254 0.4254
3 Zn 0.5746 0.5746 0.5746
4 Ag 0.2580 0.2580 0.2580
5 Ag 0.7420 0.7420 0.7420
6 Cl 0.1016 0.3861 0.7197
7 Cl 0.2803 0.6139 0.8984
8 Cl 0.3861 0.7197 0.1016
9 Cl 0.5000 0.5000 0.5000
10 Cl 0.6139 0.8984 0.2803
11 Cl 0.7197 0.1016 0.3861
12 Cl 0.8984 0.2803 0.6139

The space group is No. 155. The value obtained for the mass density is 2.39 g/cm3. The formation energy without anion corrections comes out at -1.028 eV per atom. The total energy is -2.884 eV/atom.

Density functional theory data (PBE) for a geometry-optimized KZn2AgCl6 structure.

Cell lengths 9.5525, 9.5525, 6.6739 Å; angles 99.08, 99.08, 91.20 degrees
Element x y z (fractional)
1 K 0.1095 0.8905 0.7500
2 K 0.8905 0.1095 0.2500
3 Zn 0.2225 0.3756 0.7592
4 Zn 0.3756 0.2225 0.2592
5 Zn 0.6244 0.7775 0.7408
6 Zn 0.7775 0.6244 0.2408
7 Ag 0.3065 0.6935 0.2500
8 Ag 0.6935 0.3065 0.7500
9 Cl 0.0410 0.2147 0.6974
10 Cl 0.1666 0.5945 0.9134
11 Cl 0.2147 0.0410 0.1974
12 Cl 0.2978 0.4207 0.4549
13 Cl 0.4055 0.8334 0.5866
14 Cl 0.4207 0.2978 0.9549
15 Cl 0.5793 0.7022 0.0451
16 Cl 0.5945 0.1666 0.4134
17 Cl 0.7022 0.5793 0.5451
18 Cl 0.7853 0.9590 0.8026
19 Cl 0.8334 0.4055 0.0866
20 Cl 0.9590 0.7853 0.3026

The space group is No. 15. The value obtained for the mass density is 2.75 g/cm3. The formation energy without anion corrections comes out at -1.173 eV per atom. The total energy is -2.931 eV/atom.

Density functional theory data (PBE) for a geometry-optimized K3ZnAg3Cl8 structure.

Cell lengths 8.2532, 8.2532, 8.4825 Å; angles 118.92, 118.92, 58.38 degrees
Element x y z (fractional)
1 K 0.0000 0.0000 0.0000
2 K 0.0000 0.5000 0.0000
3 K 0.5000 0.0000 0.0000
4 Zn 0.0000 0.0000 0.5000
5 Ag 0.0000 0.5000 0.5000
6 Ag 0.5000 0.0000 0.5000
7 Ag 0.5000 0.5000 0.5000
8 Cl 0.2142 0.2142 0.6923
9 Cl 0.2219 0.7691 0.6997
10 Cl 0.2309 0.7781 0.3003
11 Cl 0.2583 0.2583 0.2892
12 Cl 0.7417 0.7417 0.7108
13 Cl 0.7691 0.2219 0.6997
14 Cl 0.7781 0.2309 0.3003
15 Cl 0.7858 0.7858 0.3077

The space group is No. 12. The value obtained for the mass density is 3.20 g/cm3. The formation energy without anion corrections comes out at -1.149 eV per atom. The total energy is -3.008 eV/atom.

Question: What is the mass density in the second record?
Answer: 2.39 g/cm3